Entry 1:
# ZnSeBr, optimized geometry, DFT GGA-PBE
# - Formation energy (no corrections): 29 meV/atom
data_ZnSeBr
_chemical_formula_sum 'Zn2 Se2 Br2'
_cell_length_a 3.238
_cell_length_b 3.238
_cell_length_c 14.578
_cell_angle_alpha 90.00
_cell_angle_beta 90.00
_cell_angle_gamma 90.00
_symmetry_space_group_name_H-M 'I 4 m m'
_symmetry_Int_Tables_number 107
_symmetry_space_group_name_Hall 'I 4 -2'
loop_
_atom_site_label
_atom_site_type_symbol
_atom_site_fract_x
_atom_site_fract_y
_atom_site_fract_z
_atom_site_occupancy
Zn1 Zn 0.000 0.000 0.000 1
Se1 Se 0.000 0.000 0.381 1
Br1 Br 0.000 0.000 0.614 1



Entry 2:
# CaLaPmCd, optimized geometry, DFT GGA-PBE
# - Calculated formation energy: -0.06 eV/atom
# - E above lowest polymorph: 1.85 kcal/mol of atoms
data_CaLaPmCd
_chemical_formula_sum 'Ca4 La4 Pm4 Cd4'
_cell_length_a 8.030
_cell_length_b 8.030
_cell_length_c 8.030
_cell_angle_alpha 90.00
_cell_angle_beta 90.00
_cell_angle_gamma 90.00
_symmetry_space_group_name_H-M 'F -4 3 m'
_symmetry_Int_Tables_number 216
_symmetry_space_group_name_Hall 'F -4 2 3'
loop_
_atom_site_label
_atom_site_type_symbol
_atom_site_fract_x
_atom_site_fract_y
_atom_site_fract_z
_atom_site_occupancy
Ca1 Ca 0.000 0.000 0.000 1
La1 La 0.250 0.250 0.750 1
Pm1 Pm 0.250 0.250 0.250 1
Cd1 Cd 0.000 0.000 0.500 1



Entry 3:
# Np2UGe2, optimized geometry, DFT GGA-PBE
# - Calculated formation energy: -0.09 eV/atom
data_Np2UGe2
_chemical_formula_sum 'Np4 U2 Ge4'
_cell_length_a 4.558
_cell_length_b 6.638
_cell_length_c 7.116
_cell_angle_alpha 90.00
_cell_angle_beta 90.00
_cell_angle_gamma 90.00
_symmetry_space_group_name_H-M 'I m m m'
_symmetry_Int_Tables_number 71
_symmetry_space_group_name_Hall '-I 2 2'
loop_
_atom_site_label
_atom_site_type_symbol
_atom_site_fract_x
_atom_site_fract_y
_atom_site_fract_z
_atom_site_occupancy
Np1 Np 0.000 0.209 0.000 1
U1 U 0.000 0.000 0.500 1
Ge1 Ge 0.000 0.500 0.307 1



Entry 4:
# Hf3TcPb, optimized geometry, DFT GGA-PBE
# - Calculated formation energy: 0.38 eV/atom
# - E above lowest polymorph: 0.00 kcal/mol of atoms
data_Hf3TcPb
_chemical_formula_sum 'Hf3 Tc1 Pb1'
_cell_length_a 5.012
_cell_length_b 5.012
_cell_length_c 5.012
_cell_angle_alpha 90.00
_cell_angle_beta 90.00
_cell_angle_gamma 90.00
_symmetry_space_group_name_H-M 'P m -3 m'
_symmetry_Int_Tables_number 221
_symmetry_space_group_name_Hall '-P 4 2 3'
loop_
_atom_site_label
_atom_site_type_symbol
_atom_site_fract_x
_atom_site_fract_y
_atom_site_fract_z
_atom_site_occupancy
Hf1 Hf 0.000 0.000 0.500 1
Tc1 Tc 0.000 0.000 0.000 1
Pb1 Pb 0.500 0.500 0.500 1



Entry 5:
# Ca2YZrAs4, optimized geometry, DFT GGA-PBE
# - Calculated formation energy: -1.20 eV/atom
data_Ca2YZrAs4
_chemical_formula_sum 'Ca2 Y1 Zr1 As4'
_cell_length_a 7.063
_cell_length_b 4.052
_cell_length_c 7.264
_cell_angle_alpha 90.00
_cell_angle_beta 108.65
_cell_angle_gamma 90.00
_symmetry_space_group_name_H-M 'P 1 2/m 1'
_symmetry_Int_Tables_number 10
_symmetry_space_group_name_Hall '-P 2y'
loop_
_atom_site_label
_atom_site_type_symbol
_atom_site_fract_x
_atom_site_fract_y
_atom_site_fract_z
_atom_site_occupancy
Ca1 Ca 0.000 0.000 0.000 1
Ca2 Ca 0.500 0.500 0.000 1
Y1 Y 0.000 0.500 0.500 1
Zr1 Zr 0.500 0.000 0.500 1
As1 As 0.256 0.000 0.734 1
As2 As 0.268 0.500 0.272 1



Entry 6:
# Sr3Np3RuN8, optimized geometry, DFT GGA-PBE
# - Formation energy (no corrections): -779 meV/atom
data_Sr3Np3RuN8
_chemical_formula_sum 'Sr9 Np9 Ru3 N24'
_cell_length_a 6.7835
_cell_length_b 6.7835
_cell_length_c 17.7594
_cell_angle_alpha 90.00
_cell_angle_beta 90.00
_cell_angle_gamma 120.00
_symmetry_space_group_name_H-M 'R -3 m'
_symmetry_Int_Tables_number 166
_symmetry_space_group_name_Hall '-R 3 2"'
loop_
_atom_site_label
_atom_site_type_symbol
_atom_site_fract_x
_atom_site_fract_y
_atom_site_fract_z
_atom_site_occupancy
Sr1 Sr 0.0000 0.5000 0.0000 1
Np1 Np 0.0000 0.5000 0.5000 1
Ru1 Ru 0.0000 0.0000 0.5000 1
N1 N 0.0000 0.0000 0.2345 1
N2 N 0.0049 0.5024 0.7720 1



| no. | total moment (μB per formula unit) | density of states at the Fermi level (states/eV/f.u.) | V (Å³ per atom) |
| --- | --- | --- | --- |
| 1 | 0.00 | 1.76 | 25.5 |
| 2 | 0.00 | 4.91 | 32.4 |
| 3 | 11.20 | 10.20 | 21.5 |
| 4 | 0.00 | 8.50 | 25.2 |
| 5 | 0.00 | 3.47 | 24.6 |
| 6 | 4.96 | 13.30 | 15.7 |